(1)
Material: CaIn3Cu
Method: DFT, PBEsol
State: relaxed

Unit cell a=5.011 b=5.011 c=5.011 alpha=90.00 beta=90.00 gamma=90.00
Atoms (fractional coordinates):
Ca 0.500 0.500 0.500
Cu 0.000 0.000 0.000
In 0.000 0.500 0.000
In 0.000 0.000 0.500
In 0.500 0.000 0.000

**Calculated formation energy**: -66 meV/atom

***

(2)
Material: RbCd2As2
Method: DFT, PBEsol
State: relaxed

Unit cell a=4.521 b=4.521 c=6.982 alpha=108.89 beta=108.89 gamma=90.00
Atoms (fractional coordinates):
As 0.379 0.379 0.758
As 0.621 0.621 0.242
Rb 0.000 0.000 0.000
Cd 0.250 0.750 0.500
Cd 0.750 0.250 0.500

**Calculated formation energy**: -245 meV/atom

***

(3)
Material: AlTe2Se
Method: DFT, PBEsol
State: relaxed

Unit cell a=3.701 b=4.689 c=6.200 alpha=103.02 beta=107.37 gamma=90.00
Atoms (fractional coordinates):
Te 0.819 0.801 0.639
Te 0.181 0.199 0.361
Al 0.500 0.000 0.000
Se 0.000 0.500 0.000

**ΔE_f (raw)**: -0.023 eV/atom

***

(4)
Material: Y3Pd4
Method: DFT, PBEsol
State: relaxed

Unit cell a=5.663 b=7.765 c=7.765 alpha=114.29 beta=104.07 gamma=104.07
Atoms (fractional coordinates):
Y 0.975 0.380 0.252
Y 0.723 0.748 0.128
Y 0.595 0.872 0.620
Y 0.025 0.620 0.748
Y 0.277 0.252 0.872
Y 0.405 0.128 0.380
Pd 0.000 0.000 0.000
Pd 0.500 0.000 0.000
Pd 0.939 0.165 0.488
Pd 0.451 0.512 0.677
Pd 0.774 0.323 0.835
Pd 0.061 0.835 0.512
Pd 0.549 0.488 0.323
Pd 0.226 0.677 0.165

**Calculated formation energy**: -904 meV/atom

***

(5)
Material: Ho3Er
Method: DFT, PBEsol
State: relaxed

Unit cell a=4.860 b=4.860 c=5.956 alpha=114.08 beta=114.08 gamma=90.00
Atoms (fractional coordinates):
Ho 0.250 0.750 0.500
Ho 0.750 0.250 0.500
Ho 0.500 0.500 0.000
Er 0.000 0.000 0.000

**Calculated formation energy**: 17 meV/atom
**Relative energy among the computed polymorphs**: 0.008 eV/atom

***

(6)
Material: TaCuHg
Method: DFT, PBEsol
State: relaxed

Unit cell a=2.901 b=2.901 c=6.878 alpha=90.00 beta=90.00 gamma=120.00
Atoms (fractional coordinates):
Cu 0.000 0.000 0.005
Hg 0.333 0.667 0.682
Ta 0.667 0.333 0.313

**Calculated formation energy**: 299 meV/atom
**Relative energy among the computed polymorphs**: 0.000 eV/atom

***

(7)
Material: Cu2TcI
Method: DFT, PBEsol
State: relaxed

Unit cell a=4.477 b=4.477 c=4.477 alpha=60.00 beta=60.00 gamma=60.00
Atoms (fractional coordinates):
I 0.500 0.500 0.500
Tc 0.000 0.000 0.000
Cu 0.250 0.250 0.250
Cu 0.750 0.750 0.750

**ΔE_f (raw)**: 1.142 eV/atom

***

(8)
Material: AlCdBr2
Method: DFT, PBEsol
State: relaxed

Unit cell a=4.299 b=4.299 c=6.075 alpha=90.00 beta=90.00 gamma=90.00
Atoms (fractional coordinates):
Al 0.500 0.500 0.500
Br 0.000 0.000 0.500
Br 0.500 0.500 0.000
Cd 0.000 0.000 0.000

**ΔE_f (raw)**: -0.163 eV/atom
**Relative energy among the computed polymorphs**: 0.280 eV/atom

***

(9)
Material: BaIn2Cl
Method: DFT, PBEsol
State: relaxed

Unit cell a=4.058 b=4.518 c=7.263 alpha=101.86 beta=106.22 gamma=90.00
Atoms (fractional coordinates):
Cl 0.500 0.000 0.000
Ba 0.000 0.500 0.000
In 0.742 0.742 0.485
In 0.258 0.258 0.515

**ΔE_f (raw)**: -0.849 eV/atom
**Relative energy among the computed polymorphs**: 0.000 eV/atom

***

(10)
Material: TlSbF4
Method: DFT, PBEsol
State: relaxed

Unit cell a=6.701 b=7.447 c=8.289 alpha=99.60 beta=90.00 gamma=90.00
Atoms (fractional coordinates):
Tl 0.746 0.117 0.950
Tl 0.246 0.883 0.550
Tl 0.254 0.883 0.050
Tl 0.754 0.117 0.450
Sb 0.214 0.384 0.802
Sb 0.714 0.616 0.698
Sb 0.786 0.616 0.198
Sb 0.286 0.384 0.302
F 0.369 0.590 0.666
F 0.869 0.410 0.834
F 0.631 0.410 0.334
F 0.131 0.590 0.166
F 0.125 0.127 0.822
F 0.625 0.873 0.678
F 0.875 0.873 0.178
F 0.375 0.127 0.322
F 0.036 0.250 0.217
F 0.536 0.750 0.283
F 0.964 0.750 0.783
F 0.464 0.250 0.717
F 0.391 0.316 0.074
F 0.891 0.684 0.426
F 0.609 0.684 0.926
F 0.109 0.316 0.574

**ΔE_f (raw)**: -2.183 eV/atom

***

no.,uncorrected energy (eV for the cell shown),calculated volume (Å³/f.u.)
1,-15.75,125.8
2,-14.85,126.9
3,-15.09,99.8
4,-101.26,139.1
5,-19.71,114.9
6,-16.55,50.1
7,-17.13,63.5
8,-9.68,112.3
9,-13.52,124.9
10,-111.99,102.0